A relaxed structure of LiTeBr2. Source: Alexandria via LeMat-Bulk, functional GGA-PBEsol.

ΔE to the lowest computed polymorph	0.321	eV/atom
SG	No. 225

a = 5.246 Å, b = 5.244 Å, c = 5.246 Å
α = 59.99°, β = 90.00°, γ = 120.01°
Last column: magnetic moment on the atom in μB.
Atoms (fractional coordinates):
Te: 0.000 0.000 0.000  0.32
Br: 0.250 0.500 0.250  0.09
Br: 0.750 0.500 0.750  0.09
Li: 0.500 0.000 0.500  0.00

A relaxed structure of LiTeBr2. Source: Alexandria via LeMat-Bulk, functional GGA-PBEsol.

ΔE to the lowest computed polymorph	0.015	eV/atom
SG	No. 8

a = 3.836 Å, b = 4.109 Å, c = 7.972 Å
α = 104.54°, β = 103.92°, γ = 90.00°
Atoms (fractional coordinates):
Te: 0.231 0.729 0.462
Br: 0.000 0.006 0.000
Br: 0.763 0.261 0.527
Li: 0.505 0.504 0.011

A relaxed structure of LiTe3Br. Source: Alexandria via LeMat-Bulk, functional GGA-PBEsol.

ΔE to the lowest computed polymorph	0.000	eV/atom
SG	No. 221

a = 5.023 Å, b = 5.023 Å, c = 5.023 Å
α = 90.00°, β = 90.00°, γ = 90.00°
Atoms (fractional coordinates):
Te: 0.000 0.500 0.000
Te: 0.000 0.000 0.500
Te: 0.500 0.000 0.000
Br: 0.500 0.500 0.500
Li: 0.000 0.000 0.000

A relaxed structure of LiTeBr2. Source: Alexandria via LeMat-Bulk, functional GGA-PBEsol.

ΔE to the lowest computed polymorph	0.080	eV/atom
SG	No. 123

a = 3.353 Å, b = 3.353 Å, c = 8.078 Å
α = 90.00°, β = 90.00°, γ = 90.00°
Atoms (fractional coordinates):
Te: 0.500 0.500 0.500
Br: 0.000 0.000 0.800
Br: 0.000 0.000 0.200
Li: 0.500 0.500 0.000

A relaxed structure of LiTeBr2. Source: Alexandria via LeMat-Bulk, functional GGA-PBEsol.

ΔE to the lowest computed polymorph	0.000	eV/atom
SG	No. 166

a = 3.551 Å, b = 3.551 Å, c = 8.533 Å
α = 77.99°, β = 77.99°, γ = 60.00°
Atoms (fractional coordinates):
Te: 0.000 0.000 0.000
Br: 0.231 0.231 0.307
Br: 0.769 0.769 0.693
Li: 0.500 0.500 0.500

A relaxed structure of Li3TeBr. Source: Alexandria via LeMat-Bulk, functional GGA-PBEsol.

SG	No. 221

a = 5.156 Å, b = 5.156 Å, c = 5.156 Å
α = 90.00°, β = 90.00°, γ = 90.00°
Atoms (fractional coordinates):
Te: 0.000 0.000 0.000
Br: 0.500 0.500 0.500
Li: 0.000 0.500 0.000
Li: 0.000 0.000 0.500
Li: 0.500 0.000 0.000

A relaxed structure of LiTeBr2. Source: Alexandria via LeMat-Bulk, functional GGA-PBEsol.

ΔE to the lowest computed polymorph	0.050	eV/atom
SG	No. 123

a = 3.090 Å, b = 3.090 Å, c = 10.933 Å
α = 90.00°, β = 90.00°, γ = 90.00°
Atoms (fractional coordinates):
Te: 0.500 0.500 0.500
Br: 0.000 0.000 0.839
Br: 0.000 0.000 0.161
Li: 0.500 0.500 0.000

A relaxed structure of Li2TeBr. Source: Alexandria via LeMat-Bulk, functional GGA-PBEsol.

ΔE to the lowest computed polymorph	0.122	eV/atom
SG	No. 123

a = 3.388 Å, b = 3.388 Å, c = 7.538 Å
α = 90.00°, β = 90.00°, γ = 90.00°
Atoms (fractional coordinates):
Te: 0.500 0.500 0.000
Br: 0.500 0.500 0.500
Li: 0.000 0.000 0.723
Li: 0.000 0.000 0.277

A relaxed structure of Li2TeBr. Source: Alexandria via LeMat-Bulk, functional GGA-PBEsol.

ΔE to the lowest computed polymorph	0.176	eV/atom
SG	No. 71

a = 3.358 Å, b = 6.027 Å, c = 6.027 Å
α = 85.99°, β = 73.82°, γ = 73.82°
Last column: magnetic moment on the atom in μB.
Atoms (fractional coordinates):
Te: 0.500 0.500 0.500  0.06
Br: 0.500 0.000 0.000  0.00
Li: 0.000 0.780 0.220  0.00
Li: 0.000 0.220 0.780  0.00

A relaxed structure of LiTeBr2. Source: Alexandria via LeMat-Bulk, functional GGA-PBEsol.

ΔE to the lowest computed polymorph	0.060	eV/atom
SG	No. 65

a = 3.464 Å, b = 3.679 Å, c = 8.750 Å
α = 90.00°, β = 90.00°, γ = 118.09°
Atoms (fractional coordinates):
Te: 0.500 0.000 0.000
Br: 0.000 0.000 0.707
Br: 0.000 0.000 0.293
Li: 0.500 0.000 0.500

A relaxed structure of LiTiZnBr2. Source: Alexandria via LeMat-Bulk, functional GGA-PBEsol.

SG	No. 123

a = 5.033 Å, b = 5.033 Å, c = 5.151 Å
α = 90.00°, β = 90.00°, γ = 90.00°
Last column: magnetic moment on the atom in μB.
Atoms (fractional coordinates):
Zn: 0.000 0.000 0.500  0.04
Li: 0.500 0.500 0.500  0.01
Br: 0.000 0.500 0.000  0.01
Br: 0.500 0.000 0.000  0.01
Ti: 0.000 0.000 0.000  0.83

A relaxed structure of LiTlBr2. Source: Alexandria via LeMat-Bulk, functional GGA-PBEsol.

ΔE to the lowest computed polymorph	0.259	eV/atom
SG	No. 166

a = 4.026 Å, b = 4.026 Å, c = 8.987 Å
α = 77.06°, β = 77.06°, γ = 60.00°
Atoms (fractional coordinates):
Tl: 0.000 0.000 0.000
Br: 0.888 0.888 0.336
Br: 0.112 0.112 0.664
Li: 0.500 0.500 0.500

A relaxed structure of LiTl2Br. Source: Alexandria via LeMat-Bulk, functional GGA-PBEsol.

ΔE to the lowest computed polymorph	0.190	eV/atom
SG	No. 225

a = 5.431 Å, b = 5.431 Å, c = 5.431 Å
α = 60.00°, β = 60.00°, γ = 60.00°
Atoms (fractional coordinates):
Br: 0.000 0.000 0.000
Li: 0.500 0.500 0.500
Tl: 0.250 0.250 0.250
Tl: 0.750 0.750 0.750

A relaxed structure of LiTlBr2. Source: Alexandria via LeMat-Bulk, functional GGA-PBEsol.

ΔE to the lowest computed polymorph	0.503	eV/atom
SG	No. 216

a = 5.337 Å, b = 5.337 Å, c = 5.337 Å
α = 60.00°, β = 60.00°, γ = 60.00°
Atoms (fractional coordinates):
Br: 0.000 0.000 0.000
Br: 0.750 0.750 0.750
Li: 0.500 0.500 0.500
Tl: 0.250 0.250 0.250

A relaxed structure of LiTl2Br. Source: Alexandria via LeMat-Bulk, functional GGA-PBEsol.

ΔE to the lowest computed polymorph	0.000	eV/atom
SG	No. 123

a = 3.587 Å, b = 5.422 Å, c = 5.422 Å
α = 90.00°, β = 90.00°, γ = 90.00°
Atoms (fractional coordinates):
Br: 0.500 0.500 0.500
Li: 0.500 0.000 0.000
Tl: 0.000 0.000 0.500
Tl: 0.000 0.500 0.000

A relaxed structure of LiTlBr2. Source: Alexandria via LeMat-Bulk, functional GGA-PBEsol.

ΔE to the lowest computed polymorph	0.010	eV/atom
SG	No. 122

a = 6.659 Å, b = 6.659 Å, c = 6.659 Å
α = 105.83°, β = 111.32°, γ = 111.32°
Atoms (fractional coordinates):
Tl: 0.000 0.000 0.000
Tl: 0.500 0.750 0.250
Br: 0.926 0.551 0.125
Br: 0.074 0.199 0.625
Br: 0.574 0.375 0.449
Br: 0.426 0.875 0.801
Li: 0.000 0.500 0.500
Li: 0.500 0.250 0.750

A relaxed structure of LiTlBr2. Source: Alexandria via LeMat-Bulk, functional GGA-PBEsol.

ΔE to the lowest computed polymorph	0.042	eV/atom
SG	No. 6

a = 4.343 Å, b = 4.700 Å, c = 6.440 Å
α = 87.39°, β = 90.00°, γ = 90.00°
Atoms (fractional coordinates):
Tl: 0.500 0.381 0.875
Br: 0.000 0.882 0.809
Br: 0.500 0.501 0.370
Li: 0.000 0.736 0.445

A relaxed structure of LiTlBr2. Source: Alexandria via LeMat-Bulk, functional GGA-PBEsol.

ΔE to the lowest computed polymorph	0.099	eV/atom
SG	No. 71

a = 4.048 Å, b = 5.682 Å, c = 5.682 Å
α = 69.49°, β = 69.13°, γ = 69.13°
Atoms (fractional coordinates):
Br: 0.201 0.799 0.799
Br: 0.799 0.201 0.201
Li: 0.500 0.000 0.000
Tl: 0.000 0.500 0.500

A relaxed structure of LiTlBr2. Source: Alexandria via LeMat-Bulk, functional GGA-PBEsol.

ΔE to the lowest computed polymorph	0.000	eV/atom
SG	No. 166

a = 4.090 Å, b = 4.090 Å, c = 7.734 Å
α = 74.67°, β = 74.67°, γ = 60.00°
Atoms (fractional coordinates):
Tl: 0.500 0.500 0.500
Br: 0.733 0.733 0.802
Br: 0.267 0.267 0.198
Li: 0.000 0.000 0.000

A relaxed structure of LiTlBr2. Source: Alexandria via LeMat-Bulk, functional GGA-PBEsol.

ΔE to the lowest computed polymorph	0.045	eV/atom
SG	No. 8

a = 4.135 Å, b = 4.825 Å, c = 6.523 Å
α = 90.81°, β = 108.48°, γ = 90.00°
Atoms (fractional coordinates):
Tl: 0.740 0.842 0.480
Br: 0.008 0.795 0.017
Br: 0.284 0.336 0.569
Li: 0.467 0.527 0.935

A relaxed structure of LiTlBr2. Source: Alexandria via LeMat-Bulk, functional GGA-PBEsol.

ΔE to the lowest computed polymorph	0.038	eV/atom
SG	No. 10

a = 3.718 Å, b = 4.041 Å, c = 7.425 Å
α = 101.31°, β = 90.00°, γ = 90.00°
Atoms (fractional coordinates):
Tl: 0.500 0.500 0.000
Br: 0.000 0.899 0.729
Br: 0.000 0.101 0.271
Li: 0.500 0.000 0.500

A relaxed structure of LiTlBr2. Source: Alexandria via LeMat-Bulk, functional GGA-PBEsol.

ΔE to the lowest computed polymorph	0.005	eV/atom
SG	No. 160

a = 4.043 Å, b = 4.043 Å, c = 7.827 Å
α = 75.03°, β = 75.03°, γ = 60.00°
Atoms (fractional coordinates):
Tl: 0.250 0.250 0.251
Br: 0.017 0.017 0.948
Br: 0.816 0.816 0.552
Li: 0.417 0.417 0.748

A relaxed structure of LiTlBr2. Source: Alexandria via LeMat-Bulk, functional GGA-PBEsol.

ΔE to the lowest computed polymorph	0.065	eV/atom
SG	No. 44

a = 3.700 Å, b = 3.896 Å, c = 8.026 Å
α = 104.05°, β = 103.33°, γ = 90.00°
Atoms (fractional coordinates):
Br: 0.023 0.023 0.046
Br: 0.818 0.318 0.635
Li: 0.457 0.457 0.914
Tl: 0.202 0.702 0.405

A relaxed structure of Li2WBr. Source: Alexandria via LeMat-Bulk, functional GGA-PBEsol.

ΔE to the lowest computed polymorph	0.581	eV/atom
SG	No. 123

a = 2.920 Å, b = 4.655 Å, c = 4.655 Å
α = 90.00°, β = 90.00°, γ = 90.00°
Atoms (fractional coordinates):
Br: 0.500 0.000 0.000
Li: 0.000 0.000 0.500
Li: 0.000 0.500 0.000
W: 0.500 0.500 0.500

A relaxed structure of LiW2Br. Source: Alexandria via LeMat-Bulk, functional GGA-PBEsol.

ΔE to the lowest computed polymorph	0.000	eV/atom
SG	No. 38

a = 3.253 Å, b = 3.285 Å, c = 6.688 Å
α = 104.22°, β = 90.00°, γ = 90.00°
Atoms (fractional coordinates):
Br: 0.000 0.276 0.552
Li: 0.500 0.696 0.392
W: 0.000 0.061 0.121
W: 0.500 0.473 0.945

A relaxed structure of LiWBr2. Source: Alexandria via LeMat-Bulk, functional GGA-PBEsol.

ΔE to the lowest computed polymorph	0.217	eV/atom
SG	No. 225

a = 4.534 Å, b = 4.534 Å, c = 4.534 Å
α = 60.00°, β = 60.00°, γ = 60.00°
Last column: magnetic moment on the atom in μB.
Atoms (fractional coordinates):
Br: 0.250 0.250 0.250  0.01
Br: 0.750 0.750 0.750  0.01
Li: 0.500 0.500 0.500  0.01
W: 0.000 0.000 0.000  0.71

A relaxed structure of LiW2Br. Source: Alexandria via LeMat-Bulk, functional GGA-PBEsol.

ΔE to the lowest computed polymorph	0.571	eV/atom
SG	No. 47

a = 3.051 Å, b = 4.274 Å, c = 5.152 Å
α = 90.00°, β = 90.00°, γ = 90.00°
Atoms (fractional coordinates):
Br: 0.500 0.000 0.500
Li: 0.000 0.500 0.500
W: 0.000 0.000 0.000
W: 0.500 0.500 0.000

A relaxed structure of LiW2Br. Source: Alexandria via LeMat-Bulk, functional GGA-PBEsol.

ΔE to the lowest computed polymorph	0.661	eV/atom
SG	No. 139

a = 3.624 Å, b = 3.624 Å, c = 5.874 Å
α = 107.97°, β = 107.97°, γ = 90.00°
Atoms (fractional coordinates):
Br: 0.500 0.500 0.000
Li: 0.000 0.000 0.000
W: 0.750 0.250 0.500
W: 0.250 0.750 0.500

A relaxed structure of Li2WBr. Source: Alexandria via LeMat-Bulk, functional GGA-PBEsol.

ΔE to the lowest computed polymorph	0.000	eV/atom
SG	No. 65

a = 2.876 Å, b = 2.876 Å, c = 8.711 Å
α = 90.00°, β = 90.00°, γ = 114.67°
Atoms (fractional coordinates):
Br: 0.500 0.500 0.000
Li: 0.000 0.000 0.226
Li: 0.000 0.000 0.774
W: 0.500 0.500 0.500

A relaxed structure of Li2WBr. Source: Alexandria via LeMat-Bulk, functional GGA-PBEsol.

ΔE to the lowest computed polymorph	0.092	eV/atom
SG	No. 123

a = 2.843 Å, b = 2.843 Å, c = 8.131 Å
α = 90.00°, β = 90.00°, γ = 90.00°
Atoms (fractional coordinates):
Br: 0.500 0.500 0.500
Li: 0.000 0.000 0.723
Li: 0.000 0.000 0.277
W: 0.500 0.500 0.000

Number 1: raw formation energy -0.2109 eV/atom. Number 2: raw formation energy -0.5166 eV/atom. Number 3: raw formation energy 0.1681 eV/atom. Number 4: raw formation energy -0.4515 eV/atom. Number 5: raw formation energy -0.5316 eV/atom. Number 6: raw formation energy -0.9523 eV/atom. Number 7: raw formation energy -0.4816 eV/atom. Number 8: raw formation energy -0.9496 eV/atom. Number 9: raw formation energy -0.8952 eV/atom. Number 10: raw formation energy -0.4719 eV/atom. Number 11: raw formation energy -0.2419 eV/atom. Number 12: raw formation energy -0.8644 eV/atom. Number 13: raw formation energy -0.1498 eV/atom. Number 14: raw formation energy -0.6206 eV/atom. Number 15: raw formation energy -0.3396 eV/atom. Number 16: raw formation energy -1.1135 eV/atom. Number 17: raw formation energy -1.0821 eV/atom. Number 18: raw formation energy -1.0245 eV/atom. Number 19: raw formation energy -1.1239 eV/atom. Number 20: raw formation energy -1.0789 eV/atom. Number 21: raw formation energy -1.0862 eV/atom. Number 22: raw formation energy -1.1184 eV/atom. Number 23: raw formation energy -1.0584 eV/atom. Number 24: raw formation energy 0.7388 eV/atom. Number 25: raw formation energy 0.2433 eV/atom. Number 26: raw formation energy 0.4619 eV/atom. Number 27: raw formation energy 0.8147 eV/atom. Number 28: raw formation energy 0.9043 eV/atom. Number 29: raw formation energy 0.1578 eV/atom. Number 30: raw formation energy 0.2499 eV/atom.